# Ca2HfAlBr, relaxed, DFT PBE
# space-group type = P4/mmm, No. 123
# uncorrected formation energy = 0.57 eV per atom
# density of states at the Fermi level = 3.744 states/eV/cell
# VASP energy = -16.5 eV per formula unit
data_Ca2HfAlBr
_cell_length_a 6.198
_cell_length_b 6.198
_cell_length_c 5.115
_cell_angle_alpha 90.00
_cell_angle_beta 90.00
_cell_angle_gamma 90.00
_symmetry_space_group_name_H-M 'P 1'
_symmetry_Int_Tables_number 1
_symmetry_space_group_name_Hall 'P 1'
loop_
_atom_site_label
_atom_site_type_symbol
_atom_site_fract_x
_atom_site_fract_y
_atom_site_fract_z
Ca1 Ca 0.000 0.500 0.000
Ca2 Ca 0.500 0.000 0.000
Hf1 Hf 0.000 0.000 0.000
Al1 Al 0.000 0.000 0.500
Br1 Br 0.500 0.500 0.500


# CaAlHgBr2, relaxed, DFT PBE
# space-group type = P4/mmm, No. 123
# uncorrected formation energy = -0.34 eV per atom
# density of states at the Fermi level = 2.858 states/eV/cell
# VASP energy = -11.1 eV per formula unit
data_CaAlHgBr2
_cell_length_a 5.451
_cell_length_b 5.979
_cell_length_c 5.451
_cell_angle_alpha 90.00
_cell_angle_beta 90.00
_cell_angle_gamma 90.00
_symmetry_space_group_name_H-M 'P 1'
_symmetry_Int_Tables_number 1
_symmetry_space_group_name_Hall 'P 1'
loop_
_atom_site_label
_atom_site_type_symbol
_atom_site_fract_x
_atom_site_fract_y
_atom_site_fract_z
Ca1 Ca 0.000 0.500 0.000
Hg1 Hg 0.500 0.500 0.500
Br1 Br 0.000 0.000 0.500
Br2 Br 0.500 0.000 0.000
Al1 Al 0.000 0.000 0.000


# CaAlIBr4, relaxed, DFT PBE
# space-group type = C2/m, No. 12
# uncorrected formation energy = -1.36 eV per atom
# density of states at the Fermi level = 0.000 states/eV/cell
# VASP energy = -23.5 eV per formula unit
data_CaAlIBr4
_cell_length_a 9.021
_cell_length_b 9.021
_cell_length_c 10.037
_cell_angle_alpha 91.38
_cell_angle_beta 91.38
_cell_angle_gamma 47.56
_symmetry_space_group_name_H-M 'P 1'
_symmetry_Int_Tables_number 1
_symmetry_space_group_name_Hall 'P 1'
loop_
_atom_site_label
_atom_site_type_symbol
_atom_site_fract_x
_atom_site_fract_y
_atom_site_fract_z
Ca1 Ca 0.132 0.132 0.006
Ca2 Ca 0.868 0.868 0.994
Al1 Al 0.681 0.681 0.759
Al2 Al 0.319 0.319 0.241
I1 I 0.998 0.998 0.212
I2 I 0.002 0.002 0.788
Br1 Br 0.371 0.371 0.450
Br2 Br 0.629 0.629 0.550
Br3 Br 0.979 0.485 0.191
Br4 Br 0.407 0.407 0.065
Br5 Br 0.515 0.021 0.809
Br6 Br 0.485 0.979 0.191
Br7 Br 0.593 0.593 0.935
Br8 Br 0.021 0.515 0.809


# KCaAl2Br8, relaxed, DFT PBE
# space-group type = R-3, No. 148
# uncorrected formation energy = -1.26 eV per atom
# density of states at the Fermi level = 5.529 states/eV/cell
# VASP energy = -39.1 eV per formula unit
data_KCaAl2Br8
_cell_length_a 7.036
_cell_length_b 7.036
_cell_length_c 10.783
_cell_angle_alpha 70.96
_cell_angle_beta 70.96
_cell_angle_gamma 60.00
_symmetry_space_group_name_H-M 'P 1'
_symmetry_Int_Tables_number 1
_symmetry_space_group_name_Hall 'P 1'
loop_
_atom_site_label
_atom_site_type_symbol
_atom_site_fract_x
_atom_site_fract_y
_atom_site_fract_z
K1 K 0.500 0.500 0.500
Ca1 Ca 0.000 0.000 0.000
Al1 Al 0.252 0.252 0.244
Al2 Al 0.748 0.748 0.756
Br1 Br 0.173 0.173 0.480
Br2 Br 0.603 0.284 0.175
Br3 Br 0.827 0.827 0.520
Br4 Br 0.938 0.603 0.175
Br5 Br 0.062 0.397 0.825
Br6 Br 0.284 0.938 0.175
Br7 Br 0.716 0.062 0.825
Br8 Br 0.397 0.716 0.825


# KCaAlBr6, relaxed, DFT PBE
# space-group type = P-31c, No. 163
# uncorrected formation energy = -1.54 eV per atom
# density of states at the Fermi level = 0.000 states/eV/cell
# VASP energy = -30.7 eV per formula unit
data_KCaAlBr6
_cell_length_a 7.174
_cell_length_b 7.174
_cell_length_c 14.159
_cell_angle_alpha 90.00
_cell_angle_beta 90.00
_cell_angle_gamma 120.00
_symmetry_space_group_name_H-M 'P 1'
_symmetry_Int_Tables_number 1
_symmetry_space_group_name_Hall 'P 1'
loop_
_atom_site_label
_atom_site_type_symbol
_atom_site_fract_x
_atom_site_fract_y
_atom_site_fract_z
K1 K 0.000 0.000 0.000
K2 K 0.000 0.000 0.500
Ca1 Ca 0.333 0.667 0.250
Ca2 Ca 0.667 0.333 0.750
Al1 Al 0.667 0.333 0.250
Al2 Al 0.333 0.667 0.750
Br1 Br 0.651 0.612 0.145
Br2 Br 0.961 0.349 0.145
Br3 Br 0.349 0.961 0.645
Br4 Br 0.039 0.651 0.855
Br5 Br 0.388 0.349 0.355
Br6 Br 0.961 0.612 0.355
Br7 Br 0.612 0.961 0.855
Br8 Br 0.651 0.039 0.355
Br9 Br 0.039 0.388 0.645
Br10 Br 0.388 0.039 0.145
Br11 Br 0.612 0.651 0.645
Br12 Br 0.349 0.388 0.855


# CaAl2BrN, relaxed, DFT PBE
# space-group type = P4/mmm, No. 123
# uncorrected formation energy = 0.99 eV per atom
# density of states at the Fermi level = 1.814 states/eV/cell
# VASP energy = -14.6 eV per formula unit
data_CaAl2BrN
_cell_length_a 5.208
_cell_length_b 4.357
_cell_length_c 5.208
_cell_angle_alpha 90.00
_cell_angle_beta 90.00
_cell_angle_gamma 90.00
_symmetry_space_group_name_H-M 'P 1'
_symmetry_Int_Tables_number 1
_symmetry_space_group_name_Hall 'P 1'
loop_
_atom_site_label
_atom_site_type_symbol
_atom_site_fract_x
_atom_site_fract_y
_atom_site_fract_z
Ca1 Ca 0.500 0.500 0.500
Al1 Al 0.000 0.000 0.500
Al2 Al 0.500 0.000 0.000
Br1 Br 0.000 0.000 0.000
N1 N 0.000 0.500 0.000